This record from Alexandria describes crystalline PrHCl at its relaxed geometry. The functional is GGA-PBE.

Cell: 3.448 3.448 5.416 Å, 108.56 108.56 90.00°
Each line ends with the local moment (μB).
Fractional positions:
1 H 0.283 0.283 0.567  0.00
2 Cl 0.011 0.011 0.022  0.00
3 Pr 0.706 0.706 0.412  0.11

Values from the calculation:
Spin magnetization (μB per cell): 0.18
Electronic total energy (eV/atom): -4.41
DOS(E_F) (states/eV per cell): 1.3

=====

This record from Alexandria describes crystalline Pr2HCl5 at its relaxed geometry. The functional is GGA-PBE.

Cell: 3.643 7.163 19.278 Å, 90.00 90.00 104.73°
Fractional positions:
1 Cl 0.094 0.189 0.109
2 Cl 0.334 0.669 0.426
3 H 0.173 0.346 0.250
4 Cl 0.666 0.331 0.926
5 Pr 0.731 0.462 0.152
6 Cl 0.334 0.669 0.074
7 Pr 0.731 0.462 0.348
8 Pr 0.269 0.538 0.652
9 Cl 0.359 0.719 0.250
10 Cl 0.094 0.189 0.391
11 Cl 0.906 0.811 0.891
12 Cl 0.666 0.331 0.574
13 Cl 0.641 0.281 0.750
14 Pr 0.269 0.538 0.848
15 H 0.827 0.654 0.750
16 Cl 0.906 0.811 0.609

Values from the calculation:
Spin magnetization (μB per cell): 0.00
Electronic total energy (eV/atom): -4.48
DOS(E_F) (states/eV per cell): 0.0

=====

This record from Alexandria describes crystalline PrHCl at its relaxed geometry. The functional is GGA-PBE.

Cell: 4.020 4.020 10.277 Å, 87.05 87.05 59.98°
Fractional positions:
1 H 0.174 0.174 0.415
2 H 0.826 0.826 0.585
3 Pr 0.846 0.846 0.357
4 Cl 0.473 0.473 0.810
5 Pr 0.154 0.154 0.643
6 Cl 0.527 0.527 0.190

Values from the calculation:
Spin magnetization (μB per cell): 0.00
Electronic total energy (eV/atom): -4.73
DOS(E_F) (states/eV per cell): 0.7

=====

This record from Alexandria describes crystalline PrH2Cl3 at its relaxed geometry. The functional is GGA-PBE.

Cell: 7.733 7.733 7.619 Å, 90.00 90.00 120.00°
Each line ends with the local moment (μB).
Fractional positions:
1 Cl 0.153 0.306 0.250  0.01
2 H 0.333 0.667 0.954  0.38
3 H 0.333 0.667 0.546  0.38
4 H 0.667 0.333 0.454  0.38
5 H 0.667 0.333 0.046  0.38
6 Cl 0.306 0.153 0.750  0.01
7 Cl 0.153 0.847 0.250  0.01
8 Pr 0.000 0.000 0.000  0.01
9 Pr 0.000 0.000 0.500  0.01
10 Cl 0.847 0.694 0.750  0.01
11 Cl 0.694 0.847 0.250  0.01
12 Cl 0.847 0.153 0.750  0.01

Values from the calculation:
Spin magnetization (μB per cell): 4.00
Electronic total energy (eV/atom): -3.54
DOS(E_F) (states/eV per cell): 0.0

=====

This record from Alexandria describes crystalline PrHCl4 at its relaxed geometry. The functional is GGA-PBE.

Cell: 7.209 6.912 9.727 Å, 69.17 59.72 103.86°
Fractional positions:
1 Cl 0.936 0.365 0.403
2 Cl 0.187 0.849 0.427
3 Pr 0.013 0.838 0.225
4 Cl 0.486 0.324 0.982
5 H 0.993 0.203 0.590
6 Pr 0.487 0.076 0.488
7 Cl 0.867 0.162 0.131
8 Cl 0.564 0.679 0.589
9 Cl 0.014 0.088 0.719
10 Cl 0.633 0.545 0.249
11 Cl 0.313 0.911 0.864
12 H 0.507 0.460 0.833

Values from the calculation:
Spin magnetization (μB per cell): 0.00
DOS(E_F) (states/eV per cell): 0.0
Energy relative to the lowest polymorph listed for this composition (eV/f.u.): 0.00

=====

This record from Alexandria describes crystalline Pr2HCl at its relaxed geometry. The functional is GGA-PBE.

Cell: 3.719 3.719 7.599 Å, 75.83 75.83 60.00°
Fractional positions:
1 Cl 0.500 0.500 0.500
2 Pr 0.267 0.267 0.200
3 H 0.000 0.000 0.000
4 Pr 0.733 0.733 0.800

Values from the calculation:
Spin magnetization (μB per cell): 0.00
DOS(E_F) (states/eV per cell): 1.7
Energy relative to the lowest polymorph listed for this composition (eV/f.u.): 0.00

=====

This record from Alexandria describes crystalline PrHCl at its relaxed geometry. The functional is GGA-PBE.

Cell: 4.358 4.358 7.070 Å, 72.01 72.01 89.96°
Fractional positions:
1 Cl 0.404 0.844 0.108
2 Pr 0.555 0.495 0.808
3 Pr 0.254 0.194 0.409
4 H 0.154 0.595 0.608
5 H 0.654 0.094 0.609
6 Cl 0.904 0.344 0.108

Values from the calculation:
Spin magnetization (μB per cell): 0.00
Electronic total energy (eV/atom): -4.51
DOS(E_F) (states/eV per cell): 2.5

=====

This record from Alexandria describes crystalline Pr6HRh2Cl3 at its relaxed geometry. The functional is GGA-PBE.

Cell: 6.967 6.967 7.914 Å, 98.74 98.74 119.24°
Fractional positions:
1 Cl 0.828 0.172 0.500
2 Pr 0.604 0.933 0.795
3 Rh 0.665 0.335 0.000
4 Cl 0.172 0.828 0.500
5 Pr 0.263 0.263 0.787
6 Pr 0.737 0.737 0.213
7 Pr 0.396 0.067 0.205
8 Pr 0.067 0.396 0.205
9 H 0.000 0.000 0.000
10 Cl 0.500 0.500 0.500
11 Rh 0.335 0.665 0.000
12 Pr 0.933 0.604 0.795

Values from the calculation:
Spin magnetization (μB per cell): 0.00
Electronic total energy (eV/atom): -5.37
DOS(E_F) (states/eV per cell): 9.6

=====

> The highest spin magnetization belongs to which entry?

PrH2Cl3

=====

> Among the records above, which one has the highest spin magnetization?

PrH2Cl3

=====

> spin magnetization of number 4 (PrH2Cl3)?

4.00 μB per cell